[1]
Cu2WO4 | PBE+U | optimized geometry

Cell lengths 5.7070, 8.6260, 9.8603 Å; angles 78.85, 86.10, 76.96 degrees
Positions (direct):
1 Cu 0.0373 0.0678 0.2227
2 Cu 0.0906 0.6217 0.9724
3 Cu 0.2464 0.9967 0.9901
4 Cu 0.3169 0.3605 0.0941
5 Cu 0.6831 0.6395 0.9059
6 Cu 0.7536 0.0033 0.0099
7 Cu 0.9094 0.3783 0.0276
8 Cu 0.9627 0.9322 0.7773
9 W 0.1846 0.7195 0.4272
10 W 0.2614 0.4441 0.7671
11 W 0.7386 0.5559 0.2329
12 W 0.8154 0.2805 0.5728
13 O 0.0081 0.3470 0.6786
14 O 0.0503 0.8525 0.9578
15 O 0.1151 0.6534 0.6103
16 O 0.1365 0.9384 0.3889
17 O 0.4150 0.5836 0.8413
18 O 0.4331 0.1604 0.0033
19 O 0.4542 0.2298 0.8513
20 O 0.4994 0.6303 0.3936
21 O 0.5006 0.3697 0.6063
22 O 0.5458 0.7702 0.1487
23 O 0.5669 0.8396 0.9967
24 O 0.5850 0.4164 0.1587
25 O 0.8635 0.0616 0.6111
26 O 0.8849 0.3466 0.3897
27 O 0.9497 0.1475 0.0422
28 O 0.9919 0.6530 0.3214

## Properties
The energy above the lowest structure with this stoichiometry comes out at 364 meV/atom.


[2]
CuW3O | PBE+U | optimized geometry

Cell lengths 4.9012, 4.9012, 4.9012 Å; angles 90.00, 90.00, 90.00 degrees
Positions (direct):
1 Cu 0.0000 0.0000 0.0000
2 W 0.0000 0.0000 0.5000
3 W 0.0000 0.5000 0.0000
4 W 0.5000 0.0000 0.0000
5 O 0.5000 0.5000 0.5000

## Properties
The total energy is -18.675 eV/cell.


[3]
Cu3W4O12 | PBE+U | optimized geometry

Cell lengths 6.5981, 6.5981, 6.5981 Å; angles 109.47, 109.47, 109.47 degrees
Positions (direct):
1 Cu 0.0000 0.5000 0.5000
2 Cu 0.5000 0.0000 0.5000
3 Cu 0.5000 0.5000 0.0000
4 W 0.0000 0.0000 0.5000
5 W 0.0000 0.5000 0.0000
6 W 0.5000 0.0000 0.0000
7 W 0.5000 0.5000 0.5000
8 O 0.1267 0.3088 0.8179
9 O 0.1821 0.4909 0.3088
10 O 0.1821 0.8733 0.6912
11 O 0.3088 0.1821 0.4909
12 O 0.3088 0.8179 0.1267
13 O 0.4909 0.3088 0.1821
14 O 0.5091 0.6912 0.8179
15 O 0.6912 0.1821 0.8733
16 O 0.6912 0.8179 0.5091
17 O 0.8179 0.1267 0.3088
18 O 0.8179 0.5091 0.6912
19 O 0.8733 0.6912 0.1821

## Properties
The total energy is -129.334 eV/cell.


[4]
CuWO3 | PBE+U | optimized geometry

Cell lengths 3.9026, 3.9026, 3.9026 Å; angles 90.00, 90.00, 90.00 degrees
Positions (direct):
1 Cu 0.0000 0.0000 0.0000
2 W 0.5000 0.5000 0.5000
3 O 0.0000 0.5000 0.5000
4 O 0.5000 0.0000 0.5000
5 O 0.5000 0.5000 0.0000

## Properties
The total energy is -31.719 eV/cell.


[5]
CuWO3 | PBE+U | optimized geometry

Cell lengths 3.7343, 3.7343, 3.7343 Å; angles 90.00, 90.00, 90.00 degrees
Positions (direct):
1 Cu 0.0000 0.0000 0.0000
2 W 0.5000 0.5000 0.5000
3 O 0.0000 0.0000 0.5000
4 O 0.0000 0.5000 0.0000
5 O 0.5000 0.0000 0.0000

## Properties
The total energy is -26.746 eV/cell.


[6]
CuW2O | PBE+U | optimized geometry

Cell lengths 6.4588, 6.4588, 6.4588 Å; angles 132.85, 132.85, 68.89 degrees
Positions (direct):
1 Cu 0.0000 0.0000 0.0000
2 Cu 0.7500 0.2500 0.5000
3 W 0.1987 0.6250 0.0737
4 W 0.3750 0.4487 0.5737
5 W 0.5513 0.1250 0.9263
6 W 0.8750 0.8013 0.4263
7 O 0.2500 0.7500 0.5000
8 O 0.5000 0.5000 0.0000

## Properties
The total energy is -41.171 eV/cell.


[7]
Cu2WO4 | PBE+U | optimized geometry

Cell lengths 5.8088, 8.4210, 8.9972 Å; angles 114.59, 91.98, 96.75 degrees
Positions (direct):
1 Cu 0.0171 0.4944 0.3561
2 Cu 0.1137 0.8268 0.6600
3 Cu 0.1546 0.8646 0.3034
4 Cu 0.4531 0.7656 0.8860
5 Cu 0.5469 0.2344 0.1140
6 Cu 0.8454 0.1354 0.6966
7 Cu 0.8863 0.1732 0.3400
8 Cu 0.9829 0.5056 0.6439
9 W 0.2232 0.4035 0.9125
10 W 0.4457 0.2983 0.4994
11 W 0.5543 0.7017 0.5006
12 W 0.7768 0.5965 0.0875
13 O 0.0524 0.4545 0.1024
14 O 0.1302 0.1656 0.8170
15 O 0.1686 0.1383 0.4088
16 O 0.2646 0.4264 0.7045
17 O 0.3240 0.4758 0.4161
18 O 0.4044 0.8014 0.3889
19 O 0.4210 0.8153 0.7068
20 O 0.4737 0.6441 0.0158
21 O 0.5263 0.3559 0.9842
22 O 0.5790 0.1847 0.2932
23 O 0.5956 0.1986 0.6111
24 O 0.6760 0.5242 0.5839
25 O 0.7354 0.5736 0.2955
26 O 0.8314 0.8617 0.5912
27 O 0.8698 0.8344 0.1830
28 O 0.9476 0.5455 0.8976

## Properties
The energy above the lowest structure with this stoichiometry comes out at 51 meV/atom.


[8]
YCu2WO | PBE+U | optimized geometry

Cell lengths 4.4130, 4.4130, 4.2988 Å; angles 90.00, 90.00, 90.00 degrees
Positions (direct):
1 Y 0.0000 0.0000 0.0000
2 Cu 0.0000 0.5000 0.5000
3 Cu 0.5000 0.0000 0.5000
4 W 0.5000 0.5000 0.0000
5 O 0.5000 0.5000 0.5000

## Properties
The total energy is -26.164 eV/cell.


[9]
Y2Cu3W6O24 | PBE+U | optimized geometry

Cell lengths 6.0703, 6.1638, 13.7868 Å; angles 99.72, 91.09, 109.29 degrees
Positions (direct):
1 Y 0.1571 0.0164 0.3350
2 Y 0.8429 0.9836 0.6650
3 Cu 0.0000 0.5000 0.5000
4 Cu 0.3203 0.4263 0.1416
5 Cu 0.6797 0.5737 0.8584
6 W 0.0811 0.3355 0.9211
7 W 0.2366 0.6678 0.7480
8 W 0.4348 0.3254 0.5867
9 W 0.5652 0.6746 0.4133
10 W 0.7634 0.3322 0.2520
11 W 0.9189 0.6645 0.0789
12 O 0.0324 0.4623 0.1772
13 O 0.0483 0.9265 0.1744
14 O 0.0638 0.7226 0.6435
15 O 0.1548 0.3100 0.6553
16 O 0.1894 0.6679 0.0162
17 O 0.2399 0.2426 0.0102
18 O 0.2732 0.0665 0.4964
19 O 0.3130 0.5231 0.4923
20 O 0.3542 0.4974 0.8457
21 O 0.3712 0.9530 0.8119
22 O 0.3936 0.7848 0.3389
23 O 0.4738 0.3408 0.3180
24 O 0.5262 0.6592 0.6820
25 O 0.6064 0.2152 0.6611
26 O 0.6288 0.0470 0.1881
27 O 0.6458 0.5026 0.1543
28 O 0.6870 0.4769 0.5077
29 O 0.7268 0.9335 0.5036
30 O 0.7601 0.7574 0.9898
31 O 0.8106 0.3321 0.9838
32 O 0.8452 0.6900 0.3447
33 O 0.9362 0.2774 0.3565
34 O 0.9517 0.0735 0.8256
35 O 0.9676 0.5377 0.8228

## Properties
The energy above the lowest structure with this stoichiometry comes out at 21 meV/atom.


[10]
Y2Cu3W6O24 | PBE+U | optimized geometry

Cell lengths 9.8373, 5.9748, 17.6209 Å; angles 90.00, 120.28, 90.00 degrees
Positions (direct):
1 Y 0.1643 0.1650 0.4122
2 Y 0.1643 0.8350 0.9122
3 Y 0.8357 0.1650 0.0878
4 Y 0.8357 0.8350 0.5878
5 Cu 0.0000 0.2347 0.7500
6 Cu 0.0000 0.7653 0.2500
7 Cu 0.3383 0.1841 0.0830
8 Cu 0.3383 0.8159 0.5830
9 Cu 0.6617 0.1841 0.4170
10 Cu 0.6617 0.8159 0.9170
11 W 0.0839 0.3330 0.5849
12 W 0.0839 0.6670 0.0849
13 W 0.2646 0.3414 0.2474
14 W 0.2646 0.6586 0.7474
15 W 0.4205 0.3217 0.9158
16 W 0.4205 0.6783 0.4158
17 W 0.5795 0.3217 0.5842
18 W 0.5795 0.6783 0.0842
19 W 0.7354 0.3414 0.2526
20 W 0.7354 0.6586 0.7526
21 W 0.9161 0.3330 0.9151
22 W 0.9161 0.6670 0.4151
23 O 0.0012 0.1547 0.8603
24 O 0.0012 0.8453 0.3603
25 O 0.0450 0.3908 0.1483
26 O 0.0450 0.6092 0.6483
27 O 0.1271 0.4111 0.0184
28 O 0.1271 0.5889 0.5184
29 O 0.1439 0.1184 0.5334
30 O 0.1439 0.8816 0.0334
31 O 0.1884 0.1345 0.2944
32 O 0.1884 0.8655 0.7944
33 O 0.2122 0.3918 0.8133
34 O 0.2122 0.6082 0.3133
35 O 0.2832 0.3859 0.6827
36 O 0.2832 0.6141 0.1827
37 O 0.3296 0.1658 0.1884
38 O 0.3296 0.8342 0.6884
39 O 0.3336 0.1490 0.9715
40 O 0.3336 0.8510 0.4715
41 O 0.3785 0.3883 0.4799
42 O 0.3785 0.6117 0.9799
43 O 0.4626 0.4137 0.3534
44 O 0.4626 0.5863 0.8534
45 O 0.4947 0.1029 0.8787
46 O 0.4947 0.8971 0.3787
47 O 0.5053 0.1029 0.6213
48 O 0.5053 0.8971 0.1213
49 O 0.5374 0.4137 0.1466
50 O 0.5374 0.5863 0.6466
51 O 0.6215 0.3883 0.0201
52 O 0.6215 0.6117 0.5201
53 O 0.6664 0.1490 0.5285
54 O 0.6664 0.8510 0.0285
55 O 0.6704 0.1658 0.3116
56 O 0.6704 0.8342 0.8116
57 O 0.7168 0.3859 0.8173
58 O 0.7168 0.6141 0.3173
59 O 0.7878 0.3918 0.6867
60 O 0.7878 0.6082 0.1867
61 O 0.8116 0.1345 0.2056
62 O 0.8116 0.8655 0.7056
63 O 0.8561 0.1184 0.9666
64 O 0.8561 0.8816 0.4666
65 O 0.8729 0.4111 0.4816
66 O 0.8729 0.5889 0.9816
67 O 0.9550 0.3908 0.3517
68 O 0.9550 0.6092 0.8517
69 O 0.9988 0.1547 0.6397
70 O 0.9988 0.8453 0.1397

## Properties
The energy above the lowest structure with this stoichiometry comes out at 0 meV/atom.


[11]
Zn3CuW4O16 | PBE+U | optimized geometry

Cell lengths 6.7701, 5.8319, 7.0248 Å; angles 90.00, 93.42, 90.00 degrees
Positions (direct):
1 Zn 0.0000 0.0000 0.0000
2 Zn 0.2499 0.6565 0.7507
3 Zn 0.7501 0.6565 0.2493
4 Cu 0.5000 0.9950 0.5000
5 W 0.0000 0.1576 0.5000
6 W 0.2504 0.5020 0.2496
7 W 0.5000 0.1540 0.0000
8 W 0.7496 0.5020 0.7504
9 O 0.0440 0.7031 0.1991
10 O 0.0472 0.2223 0.2343
11 O 0.2000 0.4369 0.5155
12 O 0.2119 0.9606 0.5477
13 O 0.2935 0.9546 0.9471
14 O 0.2983 0.4354 0.9839
15 O 0.4497 0.2218 0.2645
16 O 0.4571 0.7001 0.3010
17 O 0.5429 0.7001 0.6990
18 O 0.5503 0.2218 0.7355
19 O 0.7017 0.4354 0.0161
20 O 0.7065 0.9546 0.0529
21 O 0.7881 0.9606 0.4523
22 O 0.8000 0.4369 0.4845
23 O 0.9528 0.2223 0.7657
24 O 0.9560 0.7031 0.8009

## Properties
The total energy is -157.134 eV/cell.


[12]
ZnCuW2O8 | PBE+U | optimized geometry

Cell lengths 4.7704, 5.0006, 5.9406 Å; angles 87.76, 84.55, 86.97 degrees
Positions (direct):
1 Zn 0.0000 0.0000 0.0000
2 Cu 0.0203 0.5145 0.3462
3 W 0.5201 0.0264 0.5189
4 W 0.5244 0.5159 0.8603
5 O 0.2529 0.6661 0.0737
6 O 0.2736 0.1925 0.3361
7 O 0.3075 0.2044 0.8044
8 O 0.3125 0.7188 0.6029
9 O 0.7393 0.8311 0.7912
10 O 0.7438 0.3405 0.5725
11 O 0.7675 0.3478 0.0435
12 O 0.7902 0.8590 0.3154

## Properties
The total energy is -78.942 eV/cell.


[13]
ZrCuWO6 | PBE+U | optimized geometry

Cell lengths 5.3227, 5.3227, 8.9058 Å; angles 90.00, 90.00, 120.00 degrees
Positions (direct):
1 Zr 0.3333 0.6667 0.2500
2 Zr 0.6667 0.3333 0.7500
3 Cu 0.0000 0.0000 0.0000
4 Cu 0.0000 0.0000 0.5000
5 W 0.3333 0.6667 0.7500
6 W 0.6667 0.3333 0.2500
7 O 0.0231 0.3592 0.6308
8 O 0.0231 0.6639 0.8692
9 O 0.3361 0.3592 0.8692
10 O 0.3361 0.9769 0.6308
11 O 0.3592 0.0231 0.1308
12 O 0.3592 0.3361 0.3692
13 O 0.6408 0.6639 0.6308
14 O 0.6408 0.9769 0.8692
15 O 0.6639 0.0231 0.3692
16 O 0.6639 0.6408 0.1308
17 O 0.9769 0.3361 0.1308
18 O 0.9769 0.6408 0.3692

## Properties
The total energy is -134.105 eV/cell.